Entry 1:
ScBeC3 | PBE | optimized geometry

a = 4.153 Å, b = 4.153 Å, c = 4.153 Å
α = 90.00°, β = 90.00°, γ = 90.00°
Fractional coordinates of all 5 atoms:
C (0.000, 0.000, 0.500)
C (0.500, 0.000, 0.000)
C (0.000, 0.500, 0.000)
Be (0.500, 0.500, 0.500)
Sc (0.000, 0.000, 0.000)

**Calculated density**: 2.086 g cm⁻³
**Energy of formation**: 1324.5 kJ/mol of formula units
**ΔE to the lowest computed polymorph**: 1.381 eV per atom

Entry 2:
Sc3BeC3 | PBE | optimized geometry

a = 3.272 Å, b = 10.102 Å, c = 10.068 Å
α = 90.00°, β = 90.00°, γ = 90.00°
Fractional coordinates of all 28 atoms:
Sc (0.250, 0.586, 0.104)
Sc (0.750, 0.701, 0.797)
Sc (0.750, 0.914, 0.604)
Sc (0.250, 0.799, 0.297)
Sc (0.250, 0.371, 0.499)
Sc (0.250, 0.299, 0.203)
Sc (0.750, 0.201, 0.703)
Sc (0.750, 0.414, 0.896)
Sc (0.750, 0.129, 0.999)
Sc (0.750, 0.629, 0.501)
Sc (0.250, 0.871, 0.001)
Sc (0.250, 0.086, 0.396)
C (0.250, 0.546, 0.354)
C (0.750, 0.925, 0.380)
C (0.250, 0.227, 0.872)
C (0.250, 0.075, 0.620)
C (0.250, 0.575, 0.880)
C (0.250, 0.727, 0.628)
C (0.750, 0.454, 0.646)
C (0.250, 0.046, 0.146)
C (0.750, 0.773, 0.128)
C (0.750, 0.273, 0.372)
C (0.750, 0.954, 0.854)
C (0.750, 0.425, 0.120)
Be (0.250, 0.532, 0.698)
Be (0.250, 0.032, 0.802)
Be (0.750, 0.468, 0.302)
Be (0.750, 0.968, 0.198)

**Calculated density**: 3.591 g cm⁻³
**Energy of formation**: -227.6 kJ/mol of formula units

Look up the calculated density of the second one. 3.591 g cm⁻³

Look up the energy of formation of the second one. -227.6 kJ/mol of formula units

calculated density of number 1 (ScBeC3)? 2.086 g cm⁻³

Among the records above, which one has the highest energy of formation? ScBeC3